# 1
VASP calculation (PBE-GGA) on a geometry-optimized BaP2H4O8 structure.

```
data_BaP2H4O8
_chemical_formula_sum 'Ba2 P4 H8 O16'
_space_group_name_H-M_alt 'P 1'
_space_group_IT_number 1
_cell_length_a 7.387
_cell_length_b 7.483
_cell_length_c 7.939
_cell_angle_alpha 93.22
_cell_angle_beta 103.40
_cell_angle_gamma 104.66
loop_
_space_group_symop_operation_xyz
'x,y,z'
loop_
_atom_site_label
_atom_site_type_symbol
_atom_site_fract_x
_atom_site_fract_y
_atom_site_fract_z
Ba1 Ba 0.213 0.279 0.366
Ba2 Ba 0.787 0.721 0.634
P1 P 0.245 0.742 0.419
P2 P 0.265 0.156 0.903
P3 P 0.735 0.844 0.097
P4 P 0.755 0.258 0.581
H1 H 0.000 0.000 0.000
H2 H 0.121 0.331 0.736
H3 H 0.285 0.902 0.679
H4 H 0.404 0.901 0.244
H5 H 0.500 0.000 0.000
H6 H 0.596 0.099 0.756
H7 H 0.715 0.098 0.321
H8 H 0.879 0.669 0.264
O1 O 0.061 0.602 0.310
O2 O 0.074 0.997 0.879
O3 O 0.181 0.840 0.572
O4 O 0.236 0.273 0.743
O5 O 0.315 0.917 0.319
O6 O 0.324 0.270 0.078
O7 O 0.407 0.656 0.486
O8 O 0.423 0.058 0.869
O9 O 0.577 0.942 0.131
O10 O 0.593 0.344 0.514
O11 O 0.676 0.730 0.922
O12 O 0.685 0.083 0.681
O13 O 0.764 0.727 0.257
O14 O 0.819 0.160 0.428
O15 O 0.926 0.003 0.121
O16 O 0.939 0.398 0.690
```

## Properties
magnetic moment = 0.00 μB/f.u.
DFT total energy = -189.9 eV for the cell shown
crystal system = triclinic
Fermi-level density of states = 0.0 states/eV/f.u.

# 2
VASP calculation (PBE-GGA) on a geometry-optimized BaSiP4H2O14 structure.

```
data_BaSiP4H2O14
_chemical_formula_sum 'Ba1 Si1 P4 H2 O14'
_space_group_name_H-M_alt 'P 1'
_space_group_IT_number 1
_cell_length_a 4.673
_cell_length_b 6.715
_cell_length_c 9.258
_cell_angle_alpha 74.04
_cell_angle_beta 85.76
_cell_angle_gamma 75.32
loop_
_space_group_symop_operation_xyz
'x,y,z'
loop_
_atom_site_label
_atom_site_type_symbol
_atom_site_fract_x
_atom_site_fract_y
_atom_site_fract_z
Ba1 Ba 0.000 0.000 0.000
Si1 Si 0.000 0.000 0.500
P1 P 0.099 0.553 0.737
P2 P 0.416 0.160 0.666
P3 P 0.584 0.840 0.334
P4 P 0.901 0.447 0.263
H1 H 0.450 0.468 0.173
H2 H 0.550 0.532 0.827
O1 O 0.063 0.234 0.367
O2 O 0.116 0.564 0.170
O3 O 0.155 0.067 0.647
O4 O 0.288 0.417 0.629
O5 O 0.324 0.592 0.837
O6 O 0.352 0.856 0.458
O7 O 0.485 0.925 0.172
O8 O 0.515 0.075 0.828
O9 O 0.648 0.144 0.542
O10 O 0.676 0.408 0.163
O11 O 0.712 0.583 0.371
O12 O 0.845 0.933 0.353
O13 O 0.884 0.436 0.830
O14 O 0.937 0.766 0.633
```

## Properties
magnetic moment = 0.00 μB/f.u.
DFT total energy = -154.3 eV for the cell shown
crystal system = triclinic
Fermi-level density of states = 0.0 states/eV/f.u.

# 3
VASP calculation (PBE-GGA) on a geometry-optimized BaPa3H4O12 structure.

```
data_BaPa3H4O12
_chemical_formula_sum 'Ba1 Pa3 H4 O12'
_space_group_name_H-M_alt 'P 1'
_space_group_IT_number 1
_cell_length_a 6.665
_cell_length_b 6.665
_cell_length_c 6.665
_cell_angle_alpha 102.30
_cell_angle_beta 102.30
_cell_angle_gamma 102.30
loop_
_space_group_symop_operation_xyz
'x,y,z'
loop_
_atom_site_label
_atom_site_type_symbol
_atom_site_fract_x
_atom_site_fract_y
_atom_site_fract_z
Ba1 Ba 0.000 0.000 0.000
Pa1 Pa 0.000 0.547 0.453
Pa2 Pa 0.453 0.000 0.547
Pa3 Pa 0.547 0.453 0.000
H1 H 0.119 0.500 0.881
H2 H 0.500 0.500 0.500
H3 H 0.500 0.881 0.119
H4 H 0.881 0.119 0.500
O1 O 0.029 0.602 0.778
O2 O 0.115 0.885 0.500
O3 O 0.222 0.398 0.971
O4 O 0.363 0.637 0.500
O5 O 0.398 0.971 0.222
O6 O 0.500 0.115 0.885
O7 O 0.500 0.363 0.637
O8 O 0.602 0.778 0.029
O9 O 0.637 0.500 0.363
O10 O 0.778 0.029 0.602
O11 O 0.885 0.500 0.115
O12 O 0.971 0.222 0.398
```

## Properties
magnetic moment = 2.35 μB/f.u.
DFT total energy = -146.8 eV for the cell shown
crystal system = trigonal
Fermi-level density of states = 15.4 states/eV/f.u.

# 4
VASP calculation (PBE-GGA) on a geometry-optimized BaPa2HO5 structure.

```
data_BaPa2HO5
_chemical_formula_sum 'Ba1 Pa2 H1 O5'
_space_group_name_H-M_alt 'P 1'
_space_group_IT_number 1
_cell_length_a 4.363
_cell_length_b 4.363
_cell_length_c 9.043
_cell_angle_alpha 90.00
_cell_angle_beta 90.00
_cell_angle_gamma 90.00
loop_
_space_group_symop_operation_xyz
'x,y,z'
loop_
_atom_site_label
_atom_site_type_symbol
_atom_site_fract_x
_atom_site_fract_y
_atom_site_fract_z
Ba1 Ba 0.000 0.000 0.000
Pa1 Pa 0.500 0.500 0.248
Pa2 Pa 0.500 0.500 0.752
H1 H 0.500 0.500 0.500
O1 O 0.000 0.500 0.220
O2 O 0.000 0.500 0.780
O3 O 0.500 0.000 0.220
O4 O 0.500 0.000 0.780
O5 O 0.500 0.500 0.000
```

## Properties
magnetic moment = 1.03 μB/f.u.
DFT total energy = -75.4 eV for the cell shown
crystal system = tetragonal
Fermi-level density of states = 6.7 states/eV/f.u.

# 5
VASP calculation (PBE-GGA) on a geometry-optimized Ba2PaH2O6 structure.

```
data_Ba2PaH2O6
_chemical_formula_sum 'Ba2 Pa1 H2 O6'
_space_group_name_H-M_alt 'P 1'
_space_group_IT_number 1
_cell_length_a 6.604
_cell_length_b 6.604
_cell_length_c 6.604
_cell_angle_alpha 49.38
_cell_angle_beta 49.38
_cell_angle_gamma 49.38
loop_
_space_group_symop_operation_xyz
'x,y,z'
loop_
_atom_site_label
_atom_site_type_symbol
_atom_site_fract_x
_atom_site_fract_y
_atom_site_fract_z
Ba1 Ba 0.224 0.224 0.224
Ba2 Ba 0.776 0.776 0.776
Pa1 Pa 0.000 0.000 0.000
H1 H 0.411 0.411 0.411
H2 H 0.589 0.589 0.589
O1 O 0.254 0.254 0.719
O2 O 0.254 0.719 0.254
O3 O 0.281 0.746 0.746
O4 O 0.719 0.254 0.254
O5 O 0.746 0.281 0.746
O6 O 0.746 0.746 0.281
```

## Properties
magnetic moment = 0.00 μB/f.u.
DFT total energy = -73.3 eV for the cell shown
crystal system = trigonal
Fermi-level density of states = 6.6 states/eV/f.u.

# 6
VASP calculation (PBE-GGA) on a geometry-optimized Ba3PaH2O6 structure.

```
data_Ba3PaH2O6
_chemical_formula_sum 'Ba3 Pa1 H2 O6'
_space_group_name_H-M_alt 'P 1'
_space_group_IT_number 1
_cell_length_a 5.726
_cell_length_b 5.726
_cell_length_c 7.331
_cell_angle_alpha 90.00
_cell_angle_beta 90.00
_cell_angle_gamma 120.00
loop_
_space_group_symop_operation_xyz
'x,y,z'
loop_
_atom_site_label
_atom_site_type_symbol
_atom_site_fract_x
_atom_site_fract_y
_atom_site_fract_z
Ba1 Ba 0.000 0.000 0.000
Ba2 Ba 0.333 0.667 0.675
Ba3 Ba 0.667 0.333 0.325
Pa1 Pa 0.000 0.000 0.500
H1 H 0.333 0.667 0.306
H2 H 0.667 0.333 0.694
O1 O 0.179 0.358 0.325
O2 O 0.179 0.821 0.325
O3 O 0.358 0.179 0.675
O4 O 0.642 0.821 0.325
O5 O 0.821 0.179 0.675
O6 O 0.821 0.642 0.675
```

## Properties
magnetic moment = 0.49 μB/f.u.
DFT total energy = -77.2 eV for the cell shown
crystal system = trigonal
Fermi-level density of states = 0.7 states/eV/f.u.

# 7
VASP calculation (PBE-GGA) on a geometry-optimized BaHPd2O structure.

```
data_BaHPd2O
_chemical_formula_sum 'Ba1 H1 Pd2 O1'
_space_group_name_H-M_alt 'P 1'
_space_group_IT_number 1
_cell_length_a 3.778
_cell_length_b 3.778
_cell_length_c 6.360
_cell_angle_alpha 90.00
_cell_angle_beta 90.00
_cell_angle_gamma 90.00
loop_
_space_group_symop_operation_xyz
'x,y,z'
loop_
_atom_site_label
_atom_site_type_symbol
_atom_site_fract_x
_atom_site_fract_y
_atom_site_fract_z
Ba1 Ba 0.000 0.000 0.000
H1 H 0.000 0.000 0.500
Pd1 Pd 0.000 0.500 0.500
Pd2 Pd 0.500 0.000 0.500
O1 O 0.500 0.500 0.000
```

## Properties
magnetic moment = 0.00 μB/f.u.
DFT total energy = -23.6 eV for the cell shown
crystal system = tetragonal
Fermi-level density of states = 8.4 states/eV/f.u.

# 8
VASP calculation (PBE-GGA) on a geometry-optimized Ba2H2PdS10O34 structure.

```
data_Ba2H2PdS10O34
_chemical_formula_sum 'Ba2 H2 Pd1 S10 O34'
_space_group_name_H-M_alt 'P 1'
_space_group_IT_number 1
_cell_length_a 9.220
_cell_length_b 9.481
_cell_length_c 9.568
_cell_angle_alpha 60.71
_cell_angle_beta 81.54
_cell_angle_gamma 87.77
loop_
_space_group_symop_operation_xyz
'x,y,z'
loop_
_atom_site_label
_atom_site_type_symbol
_atom_site_fract_x
_atom_site_fract_y
_atom_site_fract_z
Ba1 Ba 0.240 0.203 0.084
Ba2 Ba 0.760 0.797 0.916
H1 H 0.088 0.659 0.439
H2 H 0.912 0.341 0.561
Pd1 Pd 0.500 0.500 0.500
S1 S 0.113 0.749 0.178
S2 S 0.144 0.654 0.729
S3 S 0.205 0.999 0.594
S4 S 0.366 0.538 0.205
S5 S 0.429 0.121 0.710
S6 S 0.571 0.879 0.290
S7 S 0.634 0.462 0.795
S8 S 0.795 0.001 0.406
S9 S 0.856 0.346 0.271
S10 S 0.887 0.251 0.822
O1 O 0.001 0.683 0.792
O2 O 0.003 0.788 0.074
O3 O 0.039 0.648 0.354
O4 O 0.089 0.031 0.689
O5 O 0.158 0.666 0.571
O6 O 0.191 0.036 0.432
O7 O 0.207 0.619 0.141
O8 O 0.211 0.874 0.159
O9 O 0.223 0.525 0.843
O10 O 0.256 0.818 0.693
O11 O 0.310 0.159 0.800
O12 O 0.336 0.490 0.381
O13 O 0.355 0.093 0.570
O14 O 0.367 0.402 0.176
O15 O 0.467 0.742 0.407
O16 O 0.479 0.662 0.113
O17 O 0.494 0.025 0.205
O18 O 0.506 0.975 0.795
O19 O 0.521 0.338 0.887
O20 O 0.533 0.258 0.593
O21 O 0.633 0.598 0.824
O22 O 0.645 0.907 0.430
O23 O 0.664 0.510 0.619
O24 O 0.690 0.841 0.200
O25 O 0.744 0.182 0.307
O26 O 0.777 0.475 0.157
O27 O 0.789 0.126 0.841
O28 O 0.793 0.381 0.859
O29 O 0.809 0.964 0.568
O30 O 0.842 0.334 0.429
O31 O 0.911 0.969 0.311
O32 O 0.961 0.352 0.646
O33 O 0.997 0.212 0.926
O34 O 0.999 0.317 0.208
```

## Properties
magnetic moment = 0.07 μB/f.u.
DFT total energy = -293.3 eV for the cell shown
crystal system = triclinic